FeSeO5 | GGA+U | relaxed

Results
Energy above the lowest structure with this stoichiometry in meV per atom: 0
Total energy in eV/atom: -5.523
DOS at the Fermi energy in states/eV per cell: 0.5
Theoretical density in g/cm³: 3.76

Unit cell a=5.507 b=5.507 c=7.010 alpha=75.06 beta=75.06 gamma=101.88
Fractional coordinates of all 14 atoms:
O 0.252 0.122 0.077
O 0.122 0.252 0.577
O 0.878 0.748 0.423
O 0.605 0.183 0.618
O 0.432 0.568 0.750
O 0.395 0.817 0.382
O 0.183 0.605 0.118
O 0.748 0.878 0.923
Se 0.824 0.176 0.750
O 0.817 0.395 0.882
Fe 0.500 0.500 0.000
Se 0.176 0.824 0.250
Fe 0.500 0.500 0.500
O 0.568 0.432 0.250